Record 1
# KCaHg2 | Alexandria via LeMat-Bulk | PBE | optimized geometry
data_KCaHg2
_cell_length_a 7.9321
_cell_length_b 7.9321
_cell_length_c 7.9321
_cell_angle_alpha 90.00
_cell_angle_beta 90.00
_cell_angle_gamma 90.00
_symmetry_space_group_name_H-M 'F m -3 m'
_symmetry_Int_Tables_number 225
_symmetry_space_group_name_Hall '-F 4 2 3'
loop_
_atom_site_label
_atom_site_type_symbol
_atom_site_fract_x
_atom_site_fract_y
_atom_site_fract_z
K1 K 0.0000 0.0000 0.0000
Ca1 Ca 0.0000 0.0000 0.5000
Hg1 Hg 0.2500 0.2500 0.2500
# - uncorrected energy (eV/cell) = -18.979
# - formation enthalpy at 0 K (meV per atom) = -261
# - energy above the lowest structure with this stoichiometry (meV/atom) = 81

Record 2
# RbTh2P2N6 | Alexandria via LeMat-Bulk | PBE | optimized geometry
data_RbTh2P2N6
_cell_length_a 11.0236
_cell_length_b 6.5565
_cell_length_c 6.6210
_cell_angle_alpha 90.00
_cell_angle_beta 121.38
_cell_angle_gamma 90.00
_symmetry_space_group_name_H-M 'C 1 2/m 1'
_symmetry_Int_Tables_number 12
_symmetry_space_group_name_Hall '-C 2y'
loop_
_atom_site_label
_atom_site_type_symbol
_atom_site_fract_x
_atom_site_fract_y
_atom_site_fract_z
Rb1 Rb 0.0000 0.0000 0.0000
Th1 Th 0.1899 0.5000 0.3027
P1 P 0.1178 0.5000 0.6861
N1 N 0.0708 0.5000 0.8788
N2 N 0.1860 0.2996 0.6393
# - uncorrected energy (eV/cell) = -172.670
# - formation energy from raw total energies (eV per atom) = -0.8869

Record 3
# RbSc2Te3 | Alexandria via LeMat-Bulk | PBE | optimized geometry
data_RbSc2Te3
_cell_length_a 7.8215
_cell_length_b 4.2388
_cell_length_c 11.6359
_cell_angle_alpha 90.00
_cell_angle_beta 103.76
_cell_angle_gamma 90.00
_symmetry_space_group_name_H-M 'P 1 21/m 1'
_symmetry_Int_Tables_number 11
_symmetry_space_group_name_Hall '-P 2yb'
loop_
_atom_site_label
_atom_site_type_symbol
_atom_site_fract_x
_atom_site_fract_y
_atom_site_fract_z
Rb1 Rb 0.0315 0.2500 0.3404
Sc1 Sc 0.2606 0.2500 0.9924
Sc2 Sc 0.4995 0.2500 0.6868
Te1 Te 0.1487 0.7500 0.1343
Te2 Te 0.3261 0.7500 0.5253
Te3 Te 0.3874 0.7500 0.8482
# - uncorrected energy (eV/cell) = -59.002
# - formation energy from raw total energies (eV per atom) = -1.0742

Record 4
# Pm6YEr2Tm | Alexandria via LeMat-Bulk | PBE | optimized geometry
data_Pm6YEr2Tm
_cell_length_a 9.1876
_cell_length_b 15.2777
_cell_length_c 9.5881
_cell_angle_alpha 90.00
_cell_angle_beta 97.13
_cell_angle_gamma 90.00
_symmetry_space_group_name_H-M 'C 1 2/c 1'
_symmetry_Int_Tables_number 15
_symmetry_space_group_name_Hall '-C 2yc'
loop_
_atom_site_label
_atom_site_type_symbol
_atom_site_fract_x
_atom_site_fract_y
_atom_site_fract_z
Pm1 Pm 0.0591 0.1799 0.4464
Pm2 Pm 0.1014 0.3918 0.6183
Pm3 Pm 0.2123 0.2236 0.8126
Y1 Y 0.0000 0.0262 0.7500
Er1 Er 0.2478 0.4490 0.9547
Tm1 Tm 0.0000 0.4114 0.2500
# - uncorrected energy (eV/cell) = -189.665
# - formation enthalpy at 0 K (meV per atom) = 115